Entry 1:
# BaVCu2S4 PBE-GGA optimized geometry
# total energy: -85.60 eV/cell
data_BaVCu2S4
_cell_length_a 6.0323
_cell_length_b 7.4786
_cell_length_c 8.1951
_cell_angle_alpha 90.00
_cell_angle_beta 90.00
_cell_angle_gamma 90.00
_symmetry_space_group_name_H-M 'I 2 2 2'
_symmetry_Int_Tables_number 23
loop_
_symmetry_equiv_pos_as_xyz
'x,y,z'
'-x,-y,z'
'x,-y,-z'
'-x,y,-z'
'x+1/2,y+1/2,z+1/2'
'-x+1/2,-y+1/2,z+1/2'
'x+1/2,-y+1/2,-z+1/2'
'-x+1/2,y+1/2,-z+1/2'
loop_
_atom_site_label
_atom_site_fract_x
_atom_site_fract_y
_atom_site_fract_z
_atom_site_occupancy
Ba1 0.0000 0.0000 0.0000 1
V1 0.0000 0.0000 0.5000 1
Cu1 0.0000 0.5000 0.1557 1
S1 0.2070 0.1715 0.6646 1

***

Entry 2:
# Ba2VCu2S6 PBE-GGA optimized geometry
# total energy: -169.14 eV/cell
data_Ba2VCu2S6
_cell_length_a 6.9092
_cell_length_b 6.9092
_cell_length_c 18.3683
_cell_angle_alpha 90.00
_cell_angle_beta 90.00
_cell_angle_gamma 120.00
_symmetry_space_group_name_H-M 'R -3 m'
_symmetry_Int_Tables_number 166
_symmetry_space_group_name_Hall '-R 3 2"'
loop_
_atom_site_label
_atom_site_fract_x
_atom_site_fract_y
_atom_site_fract_z
_atom_site_occupancy
Ba1 0.0000 0.0000 0.2307 1
V1 0.0000 0.0000 0.0000 1
Cu1 0.0000 0.0000 0.4119 1
S1 0.0284 0.5142 0.7486 1

***

| no. | density of states at the Fermi level (states/eV per atom) |
| --- | --- |
| 1 | 0.5026 |
| 2 | 0.8259 |